[1]
Entry from Alexandria: crystalline Sn2HgBi at its relaxed geometry (PBE).

Properties
energy above the lowest structure with this stoichiometry: 2 kJ/mol of formula units
final energy: -2.963 eV/atom
energy relative to the elements: 0.0841 eV/atom

```
data_Sn2HgBi
_symmetry_space_group_name_H-M 'R 3 m'
_symmetry_Int_Tables_number 160
_symmetry_space_group_name_Hall 'R 3 -2"'
_cell_length_a 4.5059
_cell_length_b 4.5059
_cell_length_c 21.1180
_cell_angle_alpha 90.00
_cell_angle_beta 90.00
_cell_angle_gamma 120.00
loop_
_atom_site_label
_atom_site_fract_x
_atom_site_fract_y
_atom_site_fract_z
Sn1 0.0000 0.0000 0.0000
Sn2 0.0000 0.0000 0.1794
Hg1 0.0000 0.0000 0.5945
Bi1 0.0000 0.0000 0.4236
```

[2]
Entry from Alexandria: crystalline Sn2HgBi at its relaxed geometry (PBE).

Properties
energy above the lowest structure with this stoichiometry: 3 kJ/mol of formula units
final energy: -2.959 eV/atom
energy relative to the elements: 0.0880 eV/atom

```
data_Sn2HgBi
_symmetry_space_group_name_H-M 'F m -3 m'
_symmetry_Int_Tables_number 225
_symmetry_space_group_name_Hall '-F 4 2 3'
_cell_length_a 7.703
_cell_length_b 7.703
_cell_length_c 7.703
_cell_angle_alpha 90.00
_cell_angle_beta 90.00
_cell_angle_gamma 90.00
loop_
_atom_site_label
_atom_site_fract_x
_atom_site_fract_y
_atom_site_fract_z
Sn1 0.250 0.250 0.250
Hg1 0.000 0.000 0.000
Bi1 0.000 0.000 0.500
```

[3]
Entry from Alexandria: crystalline Sn3HgBi at its relaxed geometry (PBE).

Properties
energy above the lowest structure with this stoichiometry: 203 kJ/mol of formula units
final energy: -2.745 eV/atom
energy relative to the elements: 0.4931 eV/atom

```
data_Sn3HgBi
_symmetry_space_group_name_H-M 'P m -3 m'
_symmetry_Int_Tables_number 221
_symmetry_space_group_name_Hall '-P 4 2 3'
_cell_length_a 5.550
_cell_length_b 5.550
_cell_length_c 5.550
_cell_angle_alpha 90.00
_cell_angle_beta 90.00
_cell_angle_gamma 90.00
loop_
_atom_site_label
_atom_site_fract_x
_atom_site_fract_y
_atom_site_fract_z
Sn1 0.000 0.000 0.500
Hg1 0.000 0.000 0.000
Bi1 0.500 0.500 0.500
```

[4]
Entry from Alexandria: crystalline SrSnHgBi at its relaxed geometry (PBE).

Properties
energy above the lowest structure with this stoichiometry: 25 kJ/mol of formula units
final energy: -2.817 eV/atom
energy relative to the elements: -0.3501 eV/atom

```
data_SrSnHgBi
_symmetry_space_group_name_H-M 'F -4 3 m'
_symmetry_Int_Tables_number 216
_symmetry_space_group_name_Hall 'F -4 2 3'
_cell_length_a 7.920
_cell_length_b 7.920
_cell_length_c 7.920
_cell_angle_alpha 90.00
_cell_angle_beta 90.00
_cell_angle_gamma 90.00
loop_
_atom_site_label
_atom_site_fract_x
_atom_site_fract_y
_atom_site_fract_z
Sr1 0.000 0.000 0.000
Sn1 0.000 0.000 0.500
Hg1 0.250 0.250 0.750
Bi1 0.250 0.250 0.250
```

[5]
Entry from Alexandria: crystalline Sr3Sn2Hg4Bi2 at its relaxed geometry (PBE).

Properties
final energy: -2.359 eV/atom
energy relative to the elements: -0.3569 eV/atom

```
data_Sr3Sn2Hg4Bi2
_symmetry_space_group_name_H-M 'I 4/m m m'
_symmetry_Int_Tables_number 139
_symmetry_space_group_name_Hall '-I 4 2'
_cell_length_a 4.811
_cell_length_b 4.811
_cell_length_c 30.157
_cell_angle_alpha 90.00
_cell_angle_beta 90.00
_cell_angle_gamma 90.00
loop_
_atom_site_label
_atom_site_fract_x
_atom_site_fract_y
_atom_site_fract_z
Sr1 0.000 0.000 0.000
Sr2 0.000 0.000 0.197
Sn1 0.000 0.000 0.453
Hg1 0.000 0.500 0.109
Bi1 0.000 0.000 0.312
```

[6]
Entry from Alexandria: crystalline Sr2SnHg4Bi2 at its relaxed geometry (PBE).

Properties
final energy: -2.145 eV/atom
energy relative to the elements: -0.3301 eV/atom

```
data_Sr2SnHg4Bi2
_symmetry_space_group_name_H-M 'I 4/m m m'
_symmetry_Int_Tables_number 139
_symmetry_space_group_name_Hall '-I 4 2'
_cell_length_a 7.094
_cell_length_b 7.094
_cell_length_c 11.483
_cell_angle_alpha 90.00
_cell_angle_beta 90.00
_cell_angle_gamma 90.00
loop_
_atom_site_label
_atom_site_fract_x
_atom_site_fract_y
_atom_site_fract_z
Sr1 0.000 0.500 0.250
Sn1 0.000 0.000 0.000
Hg1 0.213 0.213 0.500
Bi1 0.000 0.000 0.268
```

[7]
Entry from Alexandria: crystalline Sr3Sn2Hg6Bi at its relaxed geometry (PBE).

Properties
final energy: -1.850 eV/atom
energy relative to the elements: -0.2884 eV/atom

```
data_Sr3Sn2Hg6Bi
_symmetry_space_group_name_H-M 'P -3 m 1'
_symmetry_Int_Tables_number 164
_symmetry_space_group_name_Hall '-P 3 2"'
_cell_length_a 6.0428
_cell_length_b 6.0428
_cell_length_c 11.5203
_cell_angle_alpha 90.00
_cell_angle_beta 90.00
_cell_angle_gamma 120.00
loop_
_atom_site_label
_atom_site_fract_x
_atom_site_fract_y
_atom_site_fract_z
Sr1 0.0000 0.0000 0.0000
Sr2 0.3333 0.6667 0.6026
Sn1 0.3333 0.6667 0.9174
Hg1 0.1700 0.3400 0.2457
Bi1 0.0000 0.0000 0.5000
```

[8]
Entry from Alexandria: crystalline SrSnHgBi at its relaxed geometry (PBE).

Properties
energy above the lowest structure with this stoichiometry: 0 kJ/mol of formula units
final energy: -2.882 eV/atom
energy relative to the elements: -0.4150 eV/atom

```
data_SrSnHgBi
_symmetry_space_group_name_H-M 'P m m m'
_symmetry_Int_Tables_number 47
_cell_length_a 4.572
_cell_length_b 5.080
_cell_length_c 5.211
_cell_angle_alpha 90.00
_cell_angle_beta 90.00
_cell_angle_gamma 90.00
loop_
_symmetry_equiv_pos_as_xyz
'x,y,z'
'-x,-y,-z'
'-x,-y,z'
'x,y,-z'
'x,-y,-z'
'-x,y,z'
'-x,y,-z'
'x,-y,z'
loop_
_atom_site_label
_atom_site_fract_x
_atom_site_fract_y
_atom_site_fract_z
Sr1 0.000 0.000 0.000
Sn1 0.000 0.500 0.500
Hg1 0.500 0.500 0.000
Bi1 0.500 0.000 0.500
```

[9]
Entry from Alexandria: crystalline Sr3Sn3HgBi2 at its relaxed geometry (PBE).

Properties
final energy: -3.314 eV/atom
energy relative to the elements: -0.5234 eV/atom

```
data_Sr3Sn3HgBi2
_symmetry_space_group_name_H-M 'P -6 2 m'
_symmetry_Int_Tables_number 189
_symmetry_space_group_name_Hall 'P -6 -2'
_cell_length_a 8.4370
_cell_length_b 8.4370
_cell_length_c 4.7817
_cell_angle_alpha 90.00
_cell_angle_beta 90.00
_cell_angle_gamma 120.00
loop_
_atom_site_label
_atom_site_fract_x
_atom_site_fract_y
_atom_site_fract_z
Sr1 0.0000 0.6054 0.0000
Sn1 0.0000 0.2390 0.5000
Hg1 0.0000 0.0000 0.0000
Bi1 0.3333 0.6667 0.5000
```

[10]
Entry from Alexandria: crystalline Sn2HgBiTe4 at its relaxed geometry (PBE).

Properties
raw formation energy: -182 meV per atom
final energy: -3.276 eV/atom

```
data_Sn2HgBiTe4
_symmetry_space_group_name_H-M 'P 1 2/m 1'
_symmetry_Int_Tables_number 10
_cell_length_a 7.772
_cell_length_b 4.528
_cell_length_c 7.815
_cell_angle_alpha 90.00
_cell_angle_beta 109.77
_cell_angle_gamma 90.00
loop_
_symmetry_equiv_pos_as_xyz
'x,y,z'
'-x,-y,-z'
'-x,y,-z'
'x,-y,z'
loop_
_atom_site_label
_atom_site_fract_x
_atom_site_fract_y
_atom_site_fract_z
Sn1 0.000 0.000 0.000
Sn2 0.000 0.500 0.500
Hg1 0.500 0.000 0.500
Bi1 0.500 0.500 0.000
Te1 0.247 0.000 0.751
Te2 0.247 0.500 0.249
```

[11]
Entry from Alexandria: crystalline TiSnHg2Bi at its relaxed geometry (PBE).

Properties
final energy: -2.823 eV/atom
energy relative to the elements: 0.4536 eV/atom

```
data_TiSnHg2Bi
_symmetry_space_group_name_H-M 'P 4/m m m'
_symmetry_Int_Tables_number 123
_symmetry_space_group_name_Hall '-P 4 2'
_cell_length_a 5.291
_cell_length_b 5.291
_cell_length_c 5.372
_cell_angle_alpha 90.00
_cell_angle_beta 90.00
_cell_angle_gamma 90.00
loop_
_atom_site_label
_atom_site_fract_x
_atom_site_fract_y
_atom_site_fract_z
Ti1 0.000 0.000 0.000
Sn1 0.000 0.000 0.500
Hg1 0.000 0.500 0.000
Bi1 0.500 0.500 0.500
```

[12]
Entry from Alexandria: crystalline TlSnHgBi2 at its relaxed geometry (PBE).

Properties
final energy: -2.272 eV/atom
energy relative to the elements: 0.6148 eV/atom

```
data_TlSnHgBi2
_symmetry_space_group_name_H-M 'P 4/m m m'
_symmetry_Int_Tables_number 123
_symmetry_space_group_name_Hall '-P 4 2'
_cell_length_a 5.902
_cell_length_b 5.902
_cell_length_c 5.509
_cell_angle_alpha 90.00
_cell_angle_beta 90.00
_cell_angle_gamma 90.00
loop_
_atom_site_label
_atom_site_fract_x
_atom_site_fract_y
_atom_site_fract_z
Tl1 0.000 0.000 0.000
Sn1 0.500 0.500 0.500
Hg1 0.000 0.000 0.500
Bi1 0.000 0.500 0.000
```